No. 1
NaTi6Se8: optimized geometry, GGA-PBE.

```
15
Lattice="9.834 0.000 0.000 -4.917 8.517 0.000 0.000 0.000 3.610" Properties=species:S:1:pos:R:3 pbc="T T T"
Na 0.000 0.000 0.000
Ti -1.152 4.192 0.900
Ti -0.710 7.418 0.900
Ti 3.055 3.094 2.709
Ti 1.862 5.423 0.900
Ti 5.627 1.099 2.709
Ti 6.069 4.324 2.709
Se -2.979 5.993 0.906
Se 1.216 2.940 0.906
Se 0.000 5.678 2.706
Se 3.154 0.416 2.703
Se 1.763 8.100 0.906
Se 4.917 2.839 0.904
Se 3.701 5.577 2.703
Se 7.896 2.523 2.703
```

Computed properties:
Electronic total energy (Ha/atom): -0.2311
SG: No. 147
Crystal system: trigonal
Density (g/cm3): 5.17


No. 2
Pm4Al2TlCd: optimized geometry, GGA-PBE.

```
8
Lattice="2.680 1.547 8.750 -2.680 1.547 8.750 0.000 -3.094 8.750" Properties=species:S:1:pos:R:3 pbc="T T T"
Pm 0.000 0.000 3.255
Pm 0.000 0.000 9.819
Pm 0.000 0.000 16.430
Pm 0.000 0.000 22.994
Al 0.000 0.000 6.605
Al 0.000 0.000 19.644
Tl 0.000 0.000 13.125
Cd 0.000 0.000 0.000
```

Computed properties:
Electronic total energy (Ha/atom): -0.1495
Calculated formation energy (eV per atom): -0.3466
SG: No. 166
Crystal system: trigonal
Density (g/cm3): 7.25


No. 3
Ca3Zn3Rh2: optimized geometry, GGA-PBE.

```
16
Lattice="2.204 -5.196 0.000 2.204 5.196 0.000 0.000 0.000 15.047" Properties=species:S:1:pos:R:3 pbc="T T T"
Ca 2.204 4.311 9.081
Ca 2.204 4.311 13.490
Ca 2.204 1.282 11.286
Ca 2.204 -1.282 3.762
Ca 2.204 -4.311 1.557
Ca 2.204 -4.311 5.967
Zn 2.204 1.893 3.762
Zn 2.204 1.343 8.089
Zn 2.204 1.343 14.482
Zn 2.204 -1.343 0.566
Zn 2.204 -1.343 6.958
Zn 2.204 -1.893 11.286
Rh 2.204 2.984 1.506
Rh 2.204 2.984 6.018
Rh 2.204 -2.984 9.030
Rh 2.204 -2.984 13.541
```

Computed properties:
Electronic total energy (Ha/atom): -0.1286
Calculated formation energy (eV per atom): -0.4344
SG: No. 63
Crystal system: orthorhombic
Density (g/cm3): 5.03


No. 4
NiHg2BiI: optimized geometry, GGA-PBE.

```
5
Lattice="5.233 0.000 0.000 0.000 5.233 0.000 0.000 0.000 5.056" Properties=species:S:1:pos:R:3 pbc="T T T"
Ni 0.000 0.000 0.000
Hg 0.000 2.617 0.000
Hg 2.617 0.000 0.000
Bi 0.000 0.000 2.528
I 2.617 2.617 2.528
```

Computed properties:
Electronic total energy (Ha/atom): -0.0854
SG: No. 123
Crystal system: tetragonal
Density (g/cm3): 9.54


No. 5
CuSb2Te: optimized geometry, GGA-PBE.

```
4
Lattice="4.539 0.000 0.000 0.000 4.539 0.000 0.000 0.000 4.806" Properties=species:S:1:pos:R:3 pbc="T T T"
Cu 0.000 0.000 0.000
Sb 0.000 2.269 2.403
Sb 2.269 0.000 2.403
Te 2.269 2.269 0.000
```

Computed properties:
Electronic total energy (Ha/atom): -0.1262
SG: No. 123
Crystal system: tetragonal
Density (g/cm3): 7.29


No. 6
ZnP2SeCl: optimized geometry, GGA-PBE.

```
5
Lattice="4.784 0.000 0.000 0.000 4.784 0.000 0.000 0.000 4.557" Properties=species:S:1:pos:R:3 pbc="T T T"
Zn 0.000 0.000 0.000
P 0.000 2.392 0.000
P 2.392 0.000 0.000
Se 2.392 2.392 2.278
Cl 0.000 0.000 2.278
```

Computed properties:
Electronic total energy (Ha/atom): -0.1020
SG: No. 123
Crystal system: tetragonal
Density (g/cm3): 3.85


No. 7
Y3HoPd4: optimized geometry, GGA-PBE.

```
8
Lattice="3.441 0.000 0.000 0.000 5.015 0.000 0.000 0.000 10.028" Properties=species:S:1:pos:R:3 pbc="T T T"
Y 0.000 0.000 0.000
Y 0.000 2.507 2.509
Y 0.000 2.507 7.519
Ho 0.000 0.000 5.014
Pd 1.721 0.000 2.541
Pd 1.721 0.000 7.487
Pd 1.721 2.507 0.000
Pd 1.721 2.507 5.014
```

Computed properties:
Electronic total energy (Ha/atom): -0.2381
Calculated formation energy (eV per atom): -0.8853
SG: No. 47
Crystal system: orthorhombic
Density (g/cm3): 8.23


No. 8
K2LiSb: optimized geometry, GGA-PBE.

```
8
Lattice="5.247 0.000 0.000 0.000 5.247 0.000 0.000 0.000 9.950" Properties=species:S:1:pos:R:3 pbc="T T T"
K 0.000 2.623 2.488
K 0.000 2.623 7.463
K 2.623 0.000 2.488
K 2.623 0.000 7.463
Li 0.000 0.000 0.000
Li 2.623 2.623 4.975
Sb 0.000 0.000 4.975
Sb 2.623 2.623 0.000
```

Computed properties:
Electronic total energy (Ha/atom): -0.0842
SG: No. 139
Crystal system: tetragonal
Density (g/cm3): 2.51


No. 9
InCu2Pt2: optimized geometry, GGA-PBE.

```
10
Lattice="3.844 0.000 0.000 0.000 3.844 0.000 0.000 0.000 11.455" Properties=species:S:1:pos:R:3 pbc="T T T"
In 0.000 0.000 0.000
In 1.922 1.922 5.727
Cu 0.000 0.000 4.563
Cu 0.000 0.000 6.892
Cu 1.922 1.922 1.165
Cu 1.922 1.922 10.290
Pt 0.000 1.922 2.864
Pt 0.000 1.922 8.591
Pt 1.922 0.000 2.864
Pt 1.922 0.000 8.591
```

Computed properties:
Electronic total energy (Ha/atom): -0.1675
Calculated formation energy (eV per atom): 0.0450
SG: No. 139
Crystal system: tetragonal
Density (g/cm3): 12.40


No. 10
CaBr3O: optimized geometry, GGA-PBE.

```
5
Lattice="4.870 0.000 0.000 0.000 4.870 0.000 0.000 0.000 4.870" Properties=species:S:1:pos:R:3 pbc="T T T"
Ca 0.000 0.000 0.000
Br 0.000 2.435 2.435
Br 2.435 0.000 2.435
Br 2.435 2.435 0.000
O 2.435 2.435 2.435
```

Computed properties:
Electronic total energy (Ha/atom): -0.1079
SG: No. 221
Crystal system: cubic
Density (g/cm3): 4.25


No. 11
LaCe2HoSe5: optimized geometry, GGA-PBE.

```
9
Lattice="5.122 0.000 0.000 0.000 5.122 0.000 0.000 0.000 11.072" Properties=species:S:1:pos:R:3 pbc="T T T"
La 0.000 0.000 0.000
Ce 2.561 2.561 3.503
Ce 2.561 2.561 7.569
Ho 0.000 0.000 5.536
Se 0.000 0.000 2.779
Se 0.000 0.000 8.293
Se 0.000 2.561 5.536
Se 2.561 0.000 5.536
Se 2.561 2.561 0.000
```

Computed properties:
Electronic total energy (Ha/atom): -0.2091
SG: No. 123
Crystal system: tetragonal
Density (g/cm3): 5.60


No. 12
Zr2AgSe: optimized geometry, GGA-PBE.

```
8
Lattice="6.619 0.000 0.000 0.000 3.767 0.000 -2.140 0.000 6.898" Properties=species:S:1:pos:R:3 pbc="T T T"
Zr 1.120 0.000 1.545
Zr 0.050 1.883 5.353
Zr 4.429 1.883 1.545
Zr 3.359 0.000 5.353
Ag -1.070 0.000 3.449
Ag 2.239 1.883 3.449
Se 0.000 1.883 0.000
Se 3.310 0.000 0.000
```

Computed properties:
Electronic total energy (Ha/atom): -0.2322
SG: No. 12
Crystal system: monoclinic
Density (g/cm3): 7.13


No. 13
CaGaB2Mo: optimized geometry, GGA-PBE.

```
5
Lattice="4.502 0.000 0.000 0.000 4.502 0.000 0.000 0.000 4.872" Properties=species:S:1:pos:R:3 pbc="T T T"
Ca 0.000 0.000 0.000
Ga 2.251 2.251 2.436
B 0.000 2.251 0.000
B 2.251 0.000 0.000
Mo 0.000 0.000 2.436
```

Computed properties:
Electronic total energy (Ha/atom): -0.1174
Calculated formation energy (eV per atom): 2.6483
SG: No. 123
Crystal system: tetragonal
Density (g/cm3): 3.82


No. 14
Mg6TlHg: optimized geometry, GGA-PBE.

```
8
Lattice="4.457 0.000 0.000 0.000 4.457 0.000 0.000 0.000 8.981" Properties=species:S:1:pos:R:3 pbc="T T T"
Mg 0.000 0.000 0.000
Mg 0.000 0.000 4.491
Mg 0.000 2.229 2.185
Mg 0.000 2.229 6.796
Mg 2.229 0.000 2.185
Mg 2.229 0.000 6.796
Tl 2.229 2.229 4.491
Hg 2.229 2.229 0.000
```

Computed properties:
Electronic total energy (Ha/atom): -0.0596
Calculated formation energy (eV per atom): -0.0922
SG: No. 123
Crystal system: tetragonal
Density (g/cm3): 5.13


No. 15
LaTbPm2Tm2: optimized geometry, GGA-PBE.

```
12
Lattice="6.991 0.000 0.000 0.000 16.285 0.000 0.000 0.000 3.539" Properties=species:S:1:pos:R:3 pbc="T T T"
La 0.000 0.000 0.000
La 3.495 8.143 1.770
Tb 0.000 8.143 1.770
Tb 3.495 0.000 0.000
Pm 1.722 5.516 0.000
Pm 1.774 13.659 1.770
Pm 5.217 2.627 1.770
Pm 5.269 10.769 0.000
Tm 1.737 2.504 1.770
Tm 1.758 10.647 0.000
Tm 5.232 5.638 0.000
Tm 5.254 13.781 1.770
```

Computed properties:
Electronic total energy (Ha/atom): -0.1657
Calculated formation energy (eV per atom): 0.1573
SG: No. 58
Crystal system: orthorhombic
Density (g/cm3): 7.63


No. 16
Sr2Si2As: optimized geometry, GGA-PBE.

```
10
Lattice="7.523 0.000 0.000 0.000 7.523 0.000 0.000 0.000 4.569" Properties=species:S:1:pos:R:3 pbc="T T T"
Sr 1.380 2.381 0.000
Sr 2.381 6.143 0.000
Sr 5.142 1.380 0.000
Sr 6.143 5.142 0.000
Si 0.834 4.596 2.284
Si 2.927 0.834 2.284
Si 4.596 6.689 2.284
Si 6.689 2.927 2.284
As 0.000 0.000 2.284
As 3.762 3.762 2.284
```

Computed properties:
Electronic total energy (Ha/atom): -0.1530
SG: No. 127
Crystal system: tetragonal
Density (g/cm3): 3.93


No. 17
PmDyMgBe: optimized geometry, GGA-PBE.

```
16
Lattice="7.276 0.000 0.000 0.000 7.276 0.000 0.000 0.000 7.276" Properties=species:S:1:pos:R:3 pbc="T T T"
Pm 0.000 0.000 0.000
Pm 0.000 3.638 3.638
Pm 3.638 0.000 3.638
Pm 3.638 3.638 0.000
Dy 0.000 0.000 3.638
Dy 0.000 3.638 0.000
Dy 3.638 0.000 0.000
Dy 3.638 3.638 3.638
Mg 1.819 1.819 5.457
Mg 1.819 5.457 1.819
Mg 5.457 1.819 1.819
Mg 5.457 5.457 5.457
Be 1.819 1.819 1.819
Be 1.819 5.457 5.457
Be 5.457 1.819 5.457
Be 5.457 5.457 1.819
```

Computed properties:
Electronic total energy (Ha/atom): -0.1311
Calculated formation energy (eV per atom): 0.1003
SG: No. 216
Crystal system: cubic
Density (g/cm3): 5.88


No. 18
MgZrBr: optimized geometry, GGA-PBE.

```
12
Lattice="7.055 0.000 0.000 0.000 7.055 0.000 0.000 0.000 7.055" Properties=species:S:1:pos:R:3 pbc="T T T"
Mg 0.000 0.000 0.000
Mg 0.000 3.528 3.528
Mg 3.528 0.000 3.528
Mg 3.528 3.528 0.000
Zr 1.764 1.764 5.292
Zr 1.764 5.292 1.764
Zr 5.292 1.764 1.764
Zr 5.292 5.292 5.292
Br 0.000 0.000 3.528
Br 0.000 3.528 0.000
Br 3.528 0.000 0.000
Br 3.528 3.528 3.528
```

Computed properties:
Electronic total energy (Ha/atom): -0.1243
SG: No. 216
Crystal system: cubic
Density (g/cm3): 3.70


No. 19
La4DyY5: optimized geometry, GGA-PBE.

```
20
Lattice="10.853 0.000 0.000 0.000 10.853 0.000 0.000 0.000 5.806" Properties=species:S:1:pos:R:3 pbc="T T T"
La 0.485 8.140 0.715
La 2.713 5.911 5.091
La 2.713 10.369 5.091
La 4.942 8.140 0.715
La 5.911 2.713 5.091
La 8.140 0.485 0.715
La 8.140 4.942 0.715
La 10.369 2.713 5.091
Dy 2.713 2.713 5.145
Dy 8.140 8.140 0.660
Y 0.985 0.985 2.022
Y 0.985 4.442 2.022
Y 2.713 8.140 2.903
Y 4.442 0.985 2.022
Y 4.442 4.442 2.022
Y 6.412 6.412 3.784
Y 6.412 9.868 3.784
Y 8.140 2.713 2.903
Y 9.868 6.412 3.784
Y 9.868 9.868 3.784
```

Computed properties:
Electronic total energy (Ha/atom): -0.2016
Calculated formation energy (eV per atom): 0.1773
SG: No. 129
Crystal system: tetragonal
Density (g/cm3): 5.65


No. 20
PmBe2ZnAu5: optimized geometry, GGA-PBE.

```
9
Lattice="4.673 0.000 0.000 0.000 4.673 0.000 0.000 0.000 7.258" Properties=species:S:1:pos:R:3 pbc="T T T"
Pm 0.000 0.000 0.000
Be 2.336 2.336 2.424
Be 2.336 2.336 4.834
Zn 0.000 0.000 3.629
Au 0.000 2.336 2.109
Au 0.000 2.336 5.149
Au 2.336 0.000 2.109
Au 2.336 0.000 5.149
Au 2.336 2.336 0.000
```

Computed properties:
Electronic total energy (Ha/atom): -0.1322
Calculated formation energy (eV per atom): -0.2792
SG: No. 123
Crystal system: tetragonal
Density (g/cm3): 12.71